(1)
A plane-wave DFT calculation with PBE+U was carried out for an optimized crystal structure of Cr3CuO.

a b c (Å): 4.7779 4.7779 4.7779
angles (deg): 90.00 90.00 90.00
Last column: nearest neighbours and their distance in Å.
Space group Pm-3m (No. 221)
Symmetry-distinct sites (fractional):
Cr 0.0000 0.0000 0.5000 (multiplicity 3)  2 Cu 2.39
Cu 0.0000 0.0000 0.0000 (multiplicity 1)  6 Cr 2.39
O 0.5000 0.5000 0.5000 (multiplicity 1)  12 Cr 3.38

Values from the calculation:
ρ = 3.6 Mg/m³
Energy above the lowest structure with this stoichiometry = 163.8 meV per atom



(2)
A plane-wave DFT calculation with PBE+U was carried out for an optimized crystal structure of CaVPO2.

a b c (Å): 4.2290 4.2290 5.6051
angles (deg): 90.00 90.00 90.00
Last column: nearest neighbours and their distance in Å.
Space group P4/mmm (No. 123)
Symmetry-distinct sites (fractional):
Ca 0.0000 0.0000 0.0000 (multiplicity 1)  4 O 2.11
V 0.5000 0.5000 0.5000 (multiplicity 1)  4 P 2.99
P 0.0000 0.0000 0.5000 (multiplicity 1)  2 Ca 2.80, 4 V 2.99
O 0.0000 0.5000 0.0000 (multiplicity 2)  2 Ca 2.11

Values from the calculation:
ρ = 2.6 Mg/m³
Energy above the lowest structure with this stoichiometry = 1371.9 meV per atom